MnRuSe2 | GGA-PBE | relaxed

Values from the calculation:
SG ... P4/mmm (123)
Magnetization ... 0.916 μB/atom
Fermi-level density of states ... 3.22 states/eV per cell
Energy above the lowest structure with this stoichiometry ... 0.377 eV/atom
Density ... 8348 kg/m³
Energy ... -6.266 eV/atom

a b c (Å): 4.4598 4.4598 3.1394
angles (deg): 90.00 90.00 90.00
With the nearest neighbours (Å) after each atom.
Atoms (fractional coordinates):
Mn1 0.0000 0.0000 0.0000  8 Se 2.73
Ru1 0.5000 0.5000 0.0000  8 Se 2.73
Se1 0.0000 0.5000 0.5000  4 Ru 2.73, 4 Mn 2.73
Se2 0.5000 0.0000 0.5000  4 Ru 2.73, 4 Mn 2.73